Entry 1:
This record from Alexandria via LeMat-Bulk describes a relaxed CaGa8Au2 crystal. The functional is PBE-GGA.

Values from the calculation:
The energy of formation from the pure elements comes out at -0.0313 eV/atom. The calculation puts the size of the total moment at 0.0 μB/f.u. Its calculated volume is 24.15 Å³/atom. Its space-group type is P4/mmm, No. 123. For the electronic total energy, the calculation gives -33.12 eV for the cell shown.

Cell and atoms, written as extended XYZ:
```
11
Lattice="5.4608 0.0000 0.0000 0.0000 5.4608 0.0000 0.0000 0.0000 8.9084" Properties=species:S:1:pos:R:3 pbc="T T T"
Ga 1.3459 4.1150 1.9796
Ga 1.3459 1.3459 6.9288
Ga 4.1150 1.3459 6.9288
Ga 1.3459 1.3459 1.9796
Ga 4.1150 4.1150 6.9288
Ga 1.3459 4.1150 6.9288
Ga 4.1150 1.3459 1.9796
Ga 4.1150 4.1150 1.9796
Au 2.7304 0.0000 0.0000
Au 0.0000 2.7304 0.0000
Ca 2.7304 2.7304 4.4542
```

Entry 2:
This record from Alexandria via LeMat-Bulk describes a relaxed CaGaAu crystal. The functional is PBE-GGA.

Values from the calculation:
The energy of formation from the pure elements comes out at -0.6847 eV/atom. The calculation puts the size of the total moment at 0.0 μB/f.u. Its calculated volume is 22.07 Å³/atom. Its space-group type is C2/m, No. 12. For the electronic total energy, the calculation gives -20.72 eV for the cell shown.

Cell and atoms, written as extended XYZ:
```
6
Lattice="4.6123 0.0000 0.0000 2.3062 5.4666 -0.0413 2.3062 0.3802 5.2481" Properties=species:S:1:pos:R:3 pbc="T T T"
Ca 4.6123 1.3274 3.7240
Ca 4.6123 4.5194 1.4828
Au 4.6123 1.3092 0.6377
Au 4.6123 4.5375 4.5691
Ga 2.3062 2.2847 1.4603
Ga 6.9185 3.5620 3.7465
```

Entry 3:
This record from Alexandria via LeMat-Bulk describes a relaxed Ca6Ga2Au crystal. The functional is PBE-GGA.

Values from the calculation:
The energy of formation from the pure elements comes out at -0.3631 eV/atom. The calculation puts the size of the total moment at 0.0 μB/f.u. Its calculated volume is 30.46 Å³/atom. Its space-group type is Immm, No. 71. For the electronic total energy, the calculation gives -49.22 eV for the cell shown.

Cell and atoms, written as extended XYZ:
```
18
Lattice="1.4304 -1.0295 -8.7585 5.3160 -5.4211 4.7083 -8.4224 -2.1071 2.1073" Properties=species:S:1:pos:R:3 pbc="T T T"
Ca -2.6452 -4.1458 -3.0044
Ca -2.2010 -6.3434 0.2635
Ca -1.6013 -1.6158 -5.2950
Ca -3.6823 -6.2311 3.7905
Ca 0.4752 -6.0372 -2.3738
Ca -5.4596 -3.2277 2.2198
Ca -2.1512 -2.5204 0.4309
Ca 3.7837 -5.3299 -4.1626
Ca 2.0064 -2.3265 -5.7333
Ca 0.9693 -4.4118 1.0616
Ca 0.5250 -2.2142 -2.2064
Ca -0.0747 -6.9418 3.3521
Au 0.0000 0.0000 0.0000
Au -1.5532 -3.7641 3.4078
Ga 3.0045 -4.1187 -1.2162
Ga -4.6805 -4.4389 -0.7267
Ga -2.4899 -1.1170 -2.3686
Ga -4.5021 -2.0196 -4.2826
```